Li5IrPdN2 | PBE-GGA | relaxed

For the total energy, the calculation gives -4.71 eV per atom. As for the calculated density: 4.53 g/cm³.

The structure belongs to space group P4/mmm (No. 123); the cell edges are 4.1686, 4.1686 and 7.6223 Å and the angles 90.00°, 90.00° and 90.00°. Symmetry generates all atoms from Li at (0.0000, 0.0000, 0.0000), Li at (0.0000, 0.5000, 0.2534), Ir at (0.0000, 0.0000, 0.5000), Pd at (0.5000, 0.5000, 0.0000) and N at (0.0000, 0.0000, 0.2630).

***

Na5Au3Cl12 | PBE-GGA | relaxed

For the total energy, the calculation gives -2.75 eV per atom. As for the calculated density: 3.13 g/cm³.

The structure belongs to space group Ia-3d (No. 230); the cell edges are 16.8679, 16.8679 and 16.8679 Å and the angles 90.00°, 90.00° and 90.00°. Symmetry generates all atoms from Na at (0.0000, 0.0000, 0.0000), Na at (0.0000, 0.2500, 0.3750), Au at (0.0000, 0.2500, 0.1250) and Cl at (0.0113, 0.0368, 0.1653).

***

Sm2Y2Ho2Er | PBE-GGA | relaxed

The value obtained for the formation energy is 1.0 eV/f.u. For the total energy, the calculation gives -5.02 eV per atom. As for the calculated density: 7.11 g/cm³.

The structure belongs to space group R-3m (No. 166, hexagonal axes); the cell edges are 5.6822, 5.6822 and 24.4468 Å and the angles 90.00°, 90.00° and 120.00°. Symmetry generates all atoms from Sm at (0.0000, 0.0000, 0.1393), Y at (0.0000, 0.0000, 0.2853), Ho at (0.0000, 0.0000, 0.4272) and Er at (0.0000, 0.0000, 0.0000).

***

NdTmAlHg | PBE-GGA | relaxed

Its energy above the most stable polymorph in this dataset is 50 meV/atom. The value obtained for the formation energy is -1.5 eV/f.u. For the total energy, the calculation gives -3.70 eV per atom. As for the calculated density: 8.70 g/cm³.

The structure belongs to space group F-43m (No. 216); the cell edges are 7.4469, 7.4469 and 7.4469 Å and the angles 90.00°, 90.00° and 90.00°. Symmetry generates all atoms from Nd at (0.0000, 0.0000, 0.0000), Tm at (0.0000, 0.0000, 0.5000), Al at (0.2500, 0.2500, 0.2500) and Hg at (0.2500, 0.2500, 0.7500).

***

NdLuZn | PBE-GGA | relaxed

Its energy above the most stable polymorph in this dataset is 0 meV/atom. The value obtained for the formation energy is -0.6 eV/f.u. For the total energy, the calculation gives -3.72 eV per atom. As for the calculated density: 8.06 g/cm³.

The structure belongs to space group I4mm (No. 107); the cell edges are 3.5889, 3.5889 and 12.3028 Å and the angles 90.00°, 90.00° and 90.00°. Symmetry generates all atoms from Nd at (0.0000, 0.0000, 0.0000), Lu at (0.0000, 0.0000, 0.2885) and Zn at (0.0000, 0.0000, 0.6610).